#w
DFT (PBE-GGA) results for crystalline KSn6 at its relaxed geometry.

Summary:
N(E_F)   0.451 states/eV/atom

Cell lengths 8.1959, 8.1959, 8.1959 Å; angles 90.00, 90.00, 90.00 degrees
Space group Im-3m (No. 229)
Asymmetric unit:
K1 0.0000 0.0000 0.0000 [2 per cell]
Sn1 0.0000 0.2500 0.5000 [12 per cell]

#x
DFT (PBE-GGA) results for crystalline KSn6 at its relaxed geometry.

Summary:
N(E_F)   0.645 states/eV/atom

Cell lengths 7.3078, 7.3078, 7.3078 Å; angles 90.00, 90.00, 90.00 degrees
Space group Pm-3m (No. 221)
Asymmetric unit:
K1 0.0000 0.0000 0.0000 [1 per cell]
Sn1 0.1993 0.5000 0.5000 [6 per cell]

Stability order, top to bottom: #w, #x

#w
DFT (PBE-GGA) results for crystalline K2Sn at its relaxed geometry.

Summary:
N(E_F)   0.393 states/eV/atom

Cell lengths 13.0027, 4.5332, 10.0747 Å; angles 90.00, 107.74, 90.00 degrees
Space group C2/m (No. 12)
Asymmetric unit:
K1 0.0192 0.0000 0.1798 [4 per cell]
K2 0.1715 0.5000 0.6463 [4 per cell]
Sn1 0.2032 0.5000 0.0508 [4 per cell]

#x
DFT (PBE-GGA) results for crystalline K2Sn at its relaxed geometry.

Summary:
N(E_F)   0.689 states/eV/atom

Cell lengths 8.5681, 8.5681, 8.5681 Å; angles 90.00, 90.00, 90.00 degrees
Space group Fm-3m (No. 225)
Asymmetric unit:
K1 0.2500 0.2500 0.2500 [8 per cell]
Sn1 0.0000 0.0000 0.0000 [4 per cell]

Stability order, top to bottom: #w, #x

#w
DFT (PBE-GGA) results for crystalline KSrSn3 at its relaxed geometry.

Summary:
N(E_F)   1.177 states/eV/atom

Cell lengths 6.1370, 6.1370, 6.1370 Å; angles 90.00, 90.00, 90.00 degrees
Space group Pm-3m (No. 221)
Asymmetric unit:
K1 0.0000 0.0000 0.0000 [1 per cell]
Sr1 0.5000 0.5000 0.5000 [1 per cell]
Sn1 0.0000 0.5000 0.5000 [3 per cell]

#x
DFT (PBE-GGA) results for crystalline KSrSn3 at its relaxed geometry.

Summary:
N(E_F)   0.851 states/eV/atom

Cell lengths 5.8268, 5.8268, 5.8268 Å; angles 90.00, 90.00, 90.00 degrees
Space group Pm-3m (No. 221)
Asymmetric unit:
K1 0.0000 0.0000 0.0000 [1 per cell]
Sr1 0.5000 0.5000 0.5000 [1 per cell]
Sn1 0.0000 0.0000 0.5000 [3 per cell]

Stability order, top to bottom: #w, #x